DFT (PBE) results for a relaxed structure of Ge3IrPt. Values from VASP.

Quantum ESPRESSO input file:
```
&SYSTEM
  ibrav = 0, nat = 10, ntyp = 3
/
ATOMIC_SPECIES
Ge 72.64 Ge.upf
Ir 192.22 Ir.upf
Pt 195.08 Pt.upf
ATOMIC_POSITIONS angstrom
Ge 3.3220 3.3938 2.5208
Ge 0.3950 2.7645 5.2555
Ge 2.4885 2.0822 8.1723
Ge 1.2117 5.2325 4.5538
Ge 1.2285 4.0761 -0.3961
Ge 2.5053 0.9259 3.2225
Ir 1.2757 4.7838 1.9788
Ir 2.4412 1.3745 5.7974
Pt 1.2497 1.9483 1.2136
Pt 2.4673 4.2100 6.5626
CELL_PARAMETERS angstrom
3.7691 0.2617 -0.2393
0.5310 5.4960 -0.6789
-0.5831 0.4006 8.6945
```

## Properties
M_tot	0.0	μB per cell
ΔH_f (0 K)	-199	meV/atom